1.
DFT (PBE) results for a relaxed structure of MnNiP.

Cell: 6.529 6.529 2.782 Å, 90.00 90.00 120.00°
Fractional coordinates of all 9 atoms:
Mn (0.000, 0.000, 0.000)
Mn (0.333, 0.667, 0.500)
Mn (0.667, 0.333, 0.500)
Ni (0.000, 0.626, 0.000)
Ni (0.374, 0.374, 0.000)
Ni (0.626, 0.000, 0.000)
P (0.000, 0.288, 0.500)
P (0.288, 0.000, 0.500)
P (0.712, 0.712, 0.500)

## Properties
crystal system	hexagonal
SG	P-62m, No. 189

2.
DFT (PBE) results for a relaxed structure of MnNi5P3.

Cell: 6.196 6.196 11.192 Å, 90.00 90.00 147.22°
Fractional coordinates of all 18 atoms:
Mn (0.228, 0.772, 0.750)
Mn (0.772, 0.228, 0.250)
Ni (0.000, 0.000, 0.000)
Ni (0.000, 0.000, 0.500)
Ni (0.203, 0.797, 0.071)
Ni (0.203, 0.797, 0.429)
Ni (0.445, 0.555, 0.641)
Ni (0.445, 0.555, 0.859)
Ni (0.555, 0.445, 0.141)
Ni (0.555, 0.445, 0.359)
Ni (0.797, 0.203, 0.571)
Ni (0.797, 0.203, 0.929)
P (0.110, 0.890, 0.250)
P (0.383, 0.617, 0.054)
P (0.383, 0.617, 0.446)
P (0.617, 0.383, 0.554)
P (0.617, 0.383, 0.946)
P (0.890, 0.110, 0.750)

## Properties
crystal system	orthorhombic
SG	Cmcm, No. 63

3.
DFT (PBE) results for a relaxed structure of MnNiP.

Cell: 4.181 4.181 4.181 Å, 134.74 134.74 65.93°
Fractional coordinates of all 3 atoms:
Mn (0.000, 0.000, 0.000)
Ni (0.342, 0.342, 0.000)
P (0.666, 0.666, 0.000)

## Properties
crystal system	tetragonal
SG	I4mm, No. 107

It is found that the total magnetic moment values, taken in the order of the records, are 4.41, 8.00, 3.18 Bohr magnetons per cell.
It is found that the total energy values, taken in the order of the records, are -6.920, -6.372, -6.949 eV per atom.